Below is crystalline ScCrTcBi2 at its relaxed geometry, with properties calculated at the PBE-GGA level.

Results
- magnetic moment (Bohr magnetons per cell) = 3.5
- formation enthalpy at 0 K (eV/f.u.) = 4.90
- DFT total energy (eV for the cell shown) = -29.2

a = 5.1575 Å, b = 5.1575 Å, c = 4.5391 Å
α = 90.00°, β = 90.00°, γ = 90.00°
Space group P4/mmm (No. 123)
Symmetry-distinct sites (fractional):
Sc 0.0000 0.0000 0.0000
Cr 0.0000 0.0000 0.5000
Tc 0.5000 0.5000 0.0000
Bi 0.0000 0.5000 0.5000